No. 1
# HgGeP2Se | Alexandria via LeMat-Bulk | PBE | relaxed
# - Fermi-level density of states: 1.055 states/eV/atom
# - E_form (uncorrected): 0.89 eV per atom
data_HgGeP2Se
_symmetry_space_group_name_H-M 'P 4/m m m'
_symmetry_Int_Tables_number 123
_symmetry_space_group_name_Hall '-P 4 2'
_cell_length_a 4.797
_cell_length_b 4.797
_cell_length_c 5.089
_cell_angle_alpha 90.00
_cell_angle_beta 90.00
_cell_angle_gamma 90.00
loop_
_atom_site_label
_atom_site_type_symbol
_atom_site_fract_x
_atom_site_fract_y
_atom_site_fract_z
_atom_site_occupancy
Hg1 Hg 0.000 0.000 0.000 1
Ge1 Ge 0.000 0.000 0.500 1
P1 P 0.000 0.500 0.500 1
Se1 Se 0.500 0.500 0.000 1



No. 2
# Hg2GePSe | Alexandria via LeMat-Bulk | PBE | relaxed
# - Fermi-level density of states: 0.566 states/eV/atom
# - E_form (uncorrected): 0.82 eV per atom
data_Hg2GePSe
_symmetry_space_group_name_H-M 'P 4/m m m'
_symmetry_Int_Tables_number 123
_symmetry_space_group_name_Hall '-P 4 2'
_cell_length_a 5.283
_cell_length_b 5.283
_cell_length_c 4.979
_cell_angle_alpha 90.00
_cell_angle_beta 90.00
_cell_angle_gamma 90.00
loop_
_atom_site_label
_atom_site_type_symbol
_atom_site_fract_x
_atom_site_fract_y
_atom_site_fract_z
_atom_site_occupancy
Hg1 Hg 0.000 0.500 0.000 1
Ge1 Ge 0.000 0.000 0.500 1
P1 P 0.500 0.500 0.500 1
Se1 Se 0.500 0.500 0.000 1



No. 3
# SiHgGeP2 | Alexandria via LeMat-Bulk | PBE | relaxed
# - Fermi-level density of states: 0.557 states/eV/atom
# - E_form (uncorrected): 0.71 eV per atom
data_SiHgGeP2
_symmetry_space_group_name_H-M 'P 4/m m m'
_symmetry_Int_Tables_number 123
_symmetry_space_group_name_Hall '-P 4 2'
_cell_length_a 4.596
_cell_length_b 4.596
_cell_length_c 5.039
_cell_angle_alpha 90.00
_cell_angle_beta 90.00
_cell_angle_gamma 90.00
loop_
_atom_site_label
_atom_site_type_symbol
_atom_site_fract_x
_atom_site_fract_y
_atom_site_fract_z
_atom_site_occupancy
Si1 Si 0.000 0.000 0.000 1
Hg1 Hg 0.000 0.000 0.500 1
Ge1 Ge 0.500 0.500 0.500 1
P1 P 0.000 0.500 0.000 1